1.
Entry from the Alexandria database: a relaxed structure of YHoPdAu (PBE-GGA).

Output
Its space-group type is F-43m. The formation energy is -0.867 eV per atom. The calculation puts the mass density at 10.33 Mg/m³. The total energy is -23.0 eV per cell.

The structure in extended XYZ format:
```
4
Lattice="-2.287 -2.731 -3.541 -3.242 -3.605 1.312 -4.912 0.606 -0.857" Properties=species:S:1:pos:R:3 pbc="T T T"
Y -7.831 -4.298 -2.315
Au -5.220 -2.865 -1.543
Ho -2.610 -1.433 -0.772
Pd 0.000 0.000 0.000
```

---

2.
Entry from the Alexandria database: a relaxed structure of Ba2Li2RhO6 (PBE-GGA).

Output
Its space-group type is C2/m. The calculation puts the mass density at 4.49 Mg/m³. The energy relative to the elements, uncorrected is -1.636 eV per atom. The total energy is -62.8 eV per cell.

The structure in extended XYZ format:
```
11
Lattice="-2.236 -2.275 5.601 3.837 -3.621 -3.703 3.749 2.915 2.026" Properties=species:S:1:pos:R:3 pbc="T T T"
Ba 3.664 -1.709 0.447
Ba 1.687 -1.271 3.476
Li -1.619 -2.412 4.656
Li 3.221 -3.484 -2.759
Rh 1.875 1.457 1.013
O 4.028 -2.553 2.998
O 3.762 0.979 0.555
O 1.323 -0.428 0.925
O 2.175 1.331 2.986
O 1.588 -3.960 3.369
O 3.176 -4.312 0.937
```

---

3.
Entry from the Alexandria database: a relaxed structure of Zn2CoAs2 (PBE-GGA).

Output
Its space-group type is P4/mbm. The formation energy is 0.114 eV per atom. The calculation puts the mass density at 6.66 Mg/m³. The total energy is -36.8 eV per cell.

The structure in extended XYZ format:
```
10
Lattice="5.997 0.000 0.000 0.000 5.997 0.000 0.000 0.000 4.708" Properties=species:S:1:pos:R:3 pbc="T T T"
As 2.100 5.098 0.000
As 5.098 3.897 0.000
As 3.897 0.899 0.000
As 0.899 2.100 0.000
Co 0.000 0.000 0.000
Co 2.999 2.999 0.000
Zn 1.121 4.120 2.354
Zn 4.120 4.876 2.354
Zn 4.876 1.877 2.354
Zn 1.877 1.121 2.354
```

---

4.
Entry from the Alexandria database: a relaxed structure of PuZr2Os (PBE-GGA).

Output
Its space-group type is P4/mmm. The formation energy is -0.164 eV per atom. The calculation puts the mass density at 12.43 Mg/m³. The total energy is -43.3 eV per cell.

The structure in extended XYZ format:
```
4
Lattice="3.251 0.000 0.000 0.000 3.251 0.000 0.000 0.000 7.798" Properties=species:S:1:pos:R:3 pbc="T T T"
Os 1.625 1.625 3.899
Zr 0.000 0.000 5.563
Zr 0.000 0.000 2.235
Pu 1.625 1.625 0.000
```

---

5.
Entry from the Alexandria database: a relaxed structure of La6PdAu2N (PBE-GGA).

Output
Its space-group type is P2_1/c. The calculation puts the mass density at 7.87 Mg/m³. The energy relative to the elements, uncorrected is -0.745 eV per atom. The total energy is -114.2 eV per cell.

The structure in extended XYZ format:
```
20
Lattice="6.864 0.000 -0.112 0.000 7.755 0.000 -0.104 0.000 10.694" Properties=species:S:1:pos:R:3 pbc="T T T"
La 2.134 5.163 0.610
La 5.514 6.470 5.901
La 4.625 2.592 9.972
La 1.246 1.285 4.681
La 2.298 5.528 4.668
La 5.678 6.104 9.960
La 4.461 2.227 5.914
La 1.081 1.651 0.623
La 5.927 4.157 2.370
La 2.443 7.475 7.773
La 0.832 3.598 8.213
La 4.316 0.280 2.810
Pd 3.432 0.000 -0.056
Pd -0.052 3.877 5.347
Au 0.381 6.980 2.505
Au 3.761 4.652 7.796
Au 6.379 0.774 8.078
Au 2.999 3.103 2.787
N 3.380 0.000 5.291
N 0.000 3.877 0.000
```

---

6.
Entry from the Alexandria database: a relaxed structure of CeThPdRh (PBE-GGA).

Output
Its space-group type is Amm2. The formation energy is -0.794 eV per atom. The calculation puts the mass density at 10.25 Mg/m³. The total energy is -29.1 eV per cell.

The structure in extended XYZ format:
```
4
Lattice="-1.029 3.306 -1.763 -4.064 -0.589 1.267 1.579 1.207 5.624" Properties=species:S:1:pos:R:3 pbc="T T T"
Ce -1.782 3.413 3.158
Th 0.283 0.761 1.262
Pd 0.869 2.334 3.870
Rh -2.334 1.930 0.699
```

---

7.
Entry from the Alexandria database: a relaxed structure of Sr3O3F (PBE-GGA).

Output
Its space-group type is R-3. The calculation puts the mass density at 4.33 Mg/m³. The energy relative to the elements, uncorrected is -2.652 eV per atom. The total energy is -80.7 eV per cell.

The structure in extended XYZ format:
```
14
Lattice="-4.761 -3.199 3.694 2.188 -5.703 3.038 0.845 0.578 6.745" Properties=species:S:1:pos:R:3 pbc="T T T"
Sr -1.299 -2.785 9.161
Sr 1.234 -5.839 7.600
Sr -2.975 -6.021 6.948
Sr 1.247 -2.304 6.530
Sr -2.962 -2.486 5.878
Sr -0.429 -5.540 4.317
O -2.775 -4.720 4.802
O 1.562 -4.572 5.450
O -1.008 -1.409 7.074
O -0.720 -6.916 6.404
O -3.290 -3.752 8.028
O 1.047 -3.604 8.676
F -0.570 -2.748 4.449
F -1.158 -5.577 9.029
```

---

8.
Entry from the Alexandria database: a relaxed structure of Pr3TeC (PBE-GGA).

Output
Its space-group type is P2_1/m. The calculation puts the mass density at 6.45 Mg/m³. The energy relative to the elements, uncorrected is -0.602 eV per atom. The total energy is -59.4 eV per cell.

The structure in extended XYZ format:
```
10
Lattice="-3.973 0.020 0.379 0.581 -5.671 6.389 0.382 8.123 3.585" Properties=species:S:1:pos:R:3 pbc="T T T"
Pr -2.480 -0.636 5.572
Pr -0.532 3.108 4.781
Pr -2.459 6.172 5.438
Pr -0.188 -0.135 8.557
Pr -0.552 -3.700 4.915
Pr -2.823 2.606 1.796
Te -0.717 0.391 2.975
Te -2.294 2.081 7.378
C -0.381 -1.860 6.620
C -2.630 4.332 3.733
```

---

9.
Entry from the Alexandria database: a relaxed structure of Ag2SbCl6 (PBE-GGA).

Output
Its space-group type is Pnnm. The calculation puts the mass density at 3.65 Mg/m³. The energy relative to the elements, uncorrected is -0.595 eV per atom. The total energy is -52.5 eV per cell.

The structure in extended XYZ format:
```
18
Lattice="6.357 0.000 0.000 0.000 6.937 0.000 0.000 -0.001 11.341" Properties=species:S:1:pos:R:3 pbc="T T T"
Ag 3.181 0.002 2.026
Ag 0.003 3.467 3.645
Ag 6.354 3.470 7.696
Ag 3.176 6.935 9.315
Sb 3.178 3.469 0.000
Sb 0.000 0.000 5.670
Cl 1.523 0.987 7.500
Cl 1.530 0.987 3.846
Cl 1.832 1.240 0.002
Cl 5.010 2.228 5.668
Cl 4.708 2.481 1.824
Cl 4.702 2.480 9.511
Cl 4.834 5.949 3.840
Cl 4.827 5.949 7.494
Cl 4.525 5.696 11.338
Cl 1.347 4.709 5.672
Cl 1.649 4.456 9.516
Cl 1.655 4.456 1.830
```

---

10.
Entry from the Alexandria database: a relaxed structure of Ba4BeCu (PBE-GGA).

Output
Its space-group type is F-43m. The formation energy is 1.014 eV per atom. The calculation puts the mass density at 3.94 Mg/m³. The total energy is -9.4 eV per cell.

The structure in extended XYZ format:
```
6
Lattice="0.000 5.078 5.078 5.078 0.000 5.078 5.078 5.078 0.000" Properties=species:S:1:pos:R:3 pbc="T T T"
Ba 3.809 6.346 6.346
Ba 6.346 6.346 3.809
Ba 6.346 3.809 6.346
Ba 3.809 3.809 3.809
Be 7.616 7.616 7.616
Cu 0.000 0.000 0.000
```

---

11.
Entry from the Alexandria database: a relaxed structure of Ce4Sn8Ru (PBE-GGA).

Output
Its space-group type is Pmm2. The formation energy is -0.517 eV per atom. The calculation puts the mass density at 7.74 Mg/m³. The total energy is -71.8 eV per cell.

The structure in extended XYZ format:
```
13
Lattice="-4.223 1.392 0.552 -1.153 -1.929 -3.959 -3.693 -14.419 8.101" Properties=species:S:1:pos:R:3 pbc="T T T"
Ce -0.345 -1.346 0.756
Ce -2.826 -9.746 2.954
Ce -4.129 -5.897 1.458
Ce -5.440 -12.300 7.577
Sn -1.704 -6.655 3.739
Sn -4.021 -14.416 5.578
Sn -2.908 -1.127 -1.222
Sn -4.246 -7.637 4.957
Sn -1.422 -4.267 -0.124
Sn -2.787 -10.880 6.113
Sn -2.952 -2.587 2.120
Sn -5.484 -11.184 4.429
Ru -1.141 -4.454 2.502
```

---

12.
Entry from the Alexandria database: a relaxed structure of TmThCu (PBE-GGA).

Output
Its space-group type is I4mm. The formation energy is -0.076 eV per atom. The calculation puts the mass density at 10.35 Mg/m³. The total energy is -16.2 eV per cell.

The structure in extended XYZ format:
```
3
Lattice="3.483 0.000 0.000 0.000 3.483 0.000 -1.742 -1.742 6.141" Properties=species:S:1:pos:R:3 pbc="T T T"
Tm 0.000 0.000 3.783
Th 0.000 0.000 0.203
Cu 1.742 1.742 2.155
```

---

- The highest mass density belongs to which entry?
  PuZr2Os

---

- Which of these has the lowest mass density?
  Ag2SbCl6

---

- What is the mass density in the second record?
  4.49 Mg/m³